Entry 1:
! CrIr4Os | the Alexandria database | GGA-PBE | optimized geometry; values from VASP
! energy above the most stable polymorph in this dataset: 71.69 kJ per mole of atoms
! calculated volume: 15.69 Å³ per atom
! symmetry: No. 216
! energy relative to the elements: 0.625 eV/atom
! final energy: -8.76 eV per atom
&SYSTEM
  ibrav = 0, nat = 6, ntyp = 3
/
ATOMIC_SPECIES
Cr 52.00 Cr.upf
Ir 192.22 Ir.upf
Os 190.23 Os.upf
ATOMIC_POSITIONS crystal
Cr 0.000 0.000 0.000
Ir 0.625 0.126 0.625
Ir 0.625 0.625 0.625
Ir 0.625 0.625 0.126
Ir 0.126 0.625 0.625
Os 0.250 0.250 0.250
CELL_PARAMETERS angstrom
0.000 3.611 3.611
3.611 0.000 3.611
3.611 3.611 0.000


Entry 2:
! CrIr2Os | the Alexandria database | GGA-PBE | optimized geometry; values from VASP
! energy above the most stable polymorph in this dataset: 17.13 kJ per mole of atoms
! calculated volume: 13.89 Å³ per atom
! symmetry: No. 166
! energy relative to the elements: 0.011 eV/atom
! final energy: -9.63 eV per atom
&SYSTEM
  ibrav = 0, nat = 4, ntyp = 3
/
ATOMIC_SPECIES
Ir 192.22 Ir.upf
Os 190.23 Os.upf
Cr 52.00 Cr.upf
ATOMIC_POSITIONS crystal
Ir 0.003 0.003 0.003
Ir 0.497 0.497 0.497
Os 0.250 0.250 0.250
Cr 0.750 0.750 0.750
CELL_PARAMETERS angstrom
8.826 -0.017 -0.010
8.412 2.669 -0.010
8.412 1.294 2.334


Entry 3:
! Cr2IrOs | the Alexandria database | GGA-PBE | optimized geometry; values from VASP
! energy above the most stable polymorph in this dataset: 34.71 kJ per mole of atoms
! calculated volume: 13.66 Å³ per atom
! symmetry: No. 216
! energy relative to the elements: 0.321 eV/atom
! final energy: -9.51 eV per atom
&SYSTEM
  ibrav = 0, nat = 4, ntyp = 3
/
ATOMIC_SPECIES
Cr 52.00 Cr.upf
Os 190.23 Os.upf
Ir 192.22 Ir.upf
ATOMIC_POSITIONS crystal
Cr 0.000 0.000 0.000
Cr 0.250 0.250 0.250
Os 0.750 0.750 0.750
Ir 0.500 0.500 0.500
CELL_PARAMETERS angstrom
4.259 0.000 0.000
2.130 3.689 0.000
2.130 1.230 3.478


Entry 4:
! CrIr4Os | the Alexandria database | GGA-PBE | optimized geometry; values from VASP
! energy above the most stable polymorph in this dataset: 49.10 kJ per mole of atoms
! calculated volume: 16.40 Å³ per atom
! symmetry: No. 12
! energy relative to the elements: 0.391 eV/atom
! final energy: -8.99 eV per atom
&SYSTEM
  ibrav = 0, nat = 6, ntyp = 3
/
ATOMIC_SPECIES
Ir 192.22 Ir.upf
Os 190.23 Os.upf
Cr 52.00 Cr.upf
ATOMIC_POSITIONS crystal
Ir 0.381 0.382 0.857
Ir 0.126 0.126 0.622
Ir 0.619 0.618 0.143
Ir 0.874 0.874 0.378
Os 0.000 0.000 0.000
Cr 0.500 0.500 0.500
CELL_PARAMETERS angstrom
4.040 0.000 0.000
2.020 3.502 0.198
2.020 0.769 7.001